{"formula": "Sb2TeMoF", "functional": "PBE with a Hubbard U", "state": "optimized geometry", "lattice_angstrom": [[5.232, 0.000, 0.000], [0.000, 5.232, 0.000], [0.000, 0.000, 5.214]], "species": ["Sb", "Sb", "Te", "Mo", "F"], "frac_coords": [[0.000, 0.500, 0.000], [0.500, 0.000, 0.000], [0.000, 0.000, 0.500], [0.000, 0.000, 0.000], [0.500, 0.500, 0.500]], "crystal_system": "tetragonal", "dft_energy_ev_per_atom": -3.688, "magmom_total_mub_per_fu": 0.00, "space_group": "P4/mmm, No. 123"}